ErLuFe2Cl2: relaxed, PBE.

Summary:
energy	-6.020	eV per atom
magnetization	1.30	μB/f.u.

a b c (Å): 3.7528 3.7528 10.9161
angles (deg): 90.00 90.00 120.00
Space group P3m1 (No. 156)
One atom of each set of equivalent atoms:
Er 0.0000 0.0000 0.0000 [1 per cell]
Lu 0.0000 0.0000 0.6389 [1 per cell]
Fe 0.3333 0.6667 0.8276 [1 per cell]
Fe 0.6667 0.3333 0.8070 [1 per cell]
Cl 0.3333 0.6667 0.4835 [1 per cell]
Cl 0.6667 0.3333 0.1591 [1 per cell]